Tc3Rh4, relaxed, DFT PBE-GGA; DFT formation energy = 0.13 eV per atom; volume = 14.93 Å³/atom; total magnetic moment = 0.001 μB/atom; polymorph energy (0 for the lowest one) = 0.000 eV/atom; space group = P6/mmm (191); Fermi-level density of states = 9.150 states/eV/cell
1.0
1.384 4.598 -1.297
-4.512 -0.785 1.942
1.801 0.720 4.475
Tc Rh
3 4
Cartesian
-2.256 -0.392 0.971
-1.564 1.907 0.323
0.692 2.299 -0.648
0.463 0.185 1.150
1.338 0.535 3.325
0.319 3.164 2.020
-1.646 1.370 3.100